1.
Computed, not measured: LiPmGdOs after structural relaxation at the PBE level of DFT.

Output
The density is 9.5 g/cm³. The symmetry is F-43m. The calculation puts the electronic total energy at -8.138 eV per atom. The size of the total moment comes out at 7.16 μB/f.u. Its formation energy is -144 meV per atom.

Cell: 4.982 4.982 4.982 Å, 60.00 60.00 60.00°
Site moments in Bohr magnetons follow the coordinates.
Element x y z (fractional)
Gd (0.000, 0.000, 0.000)  7.06
Os (0.250, 0.250, 0.250)  -0.10
Li (0.750, 0.750, 0.750)  0.01
Pm (0.500, 0.500, 0.500)  0.01

2.
Computed, not measured: LiGdPuOs after structural relaxation at the PBE level of DFT.

Output
The density is 12.0 g/cm³. The symmetry is F-43m. The calculation puts the electronic total energy at -10.430 eV per atom. The size of the total moment comes out at 1.50 μB/f.u. Its formation energy is -41 meV per atom.

Cell: 4.893 4.893 4.893 Å, 60.00 60.00 60.00°
Site moments in Bohr magnetons follow the coordinates.
Element x y z (fractional)
Gd (0.000, 0.000, 0.000)  6.91
Os (0.250, 0.250, 0.250)  0.18
Li (0.750, 0.750, 0.750)  -0.05
Pu (0.500, 0.500, 0.500)  -5.21

3.
Computed, not measured: LiGdThOs after structural relaxation at the PBE level of DFT.

Output
The density is 10.9 g/cm³. The symmetry is F-43m. The calculation puts the electronic total energy at -8.824 eV per atom. The size of the total moment comes out at 7.05 μB/f.u. Its formation energy is -163 meV per atom.

Cell: 5.021 5.021 5.021 Å, 60.00 60.00 60.00°
Site moments in Bohr magnetons follow the coordinates.
Element x y z (fractional)
Gd (0.250, 0.250, 0.250)  7.02
Os (0.500, 0.500, 0.500)  -0.10
Th (0.750, 0.750, 0.750)  0.01
Li (0.000, 0.000, 0.000)  0.00

4.
Computed, not measured: LiGdTiOs after structural relaxation at the PBE level of DFT.

Output
The density is 9.3 g/cm³. The symmetry is F-43m. The calculation puts the electronic total energy at -8.878 eV per atom. The size of the total moment comes out at 7.43 μB/f.u. Its formation energy is -99 meV per atom.

Cell: 4.666 4.666 4.666 Å, 60.00 60.00 60.00°
Site moments in Bohr magnetons follow the coordinates.
Element x y z (fractional)
Gd (0.750, 0.750, 0.750)  7.07
Os (0.500, 0.500, 0.500)  -0.05
Li (0.000, 0.000, 0.000)  0.01
Ti (0.250, 0.250, 0.250)  0.20

5.
Computed, not measured: LiGd2P after structural relaxation at the PBE level of DFT.

Output
The density is 6.8 g/cm³. The symmetry is P4/mmm. The calculation puts the electronic total energy at -9.464 eV per atom. The size of the total moment comes out at 14.92 μB/f.u. Its formation energy is -592 meV per atom. Its excess energy over the best structure of this formula in the dataset is 0 meV per atom.

Cell: 3.807 4.771 4.771 Å, 90.00 90.00 90.00°
Site moments in Bohr magnetons follow the coordinates.
Element x y z (fractional)
P (0.500, 0.000, 0.000)  -0.06
Gd (0.000, 0.000, 0.500)  7.23
Gd (0.000, 0.500, 0.000)  7.23
Li (0.500, 0.500, 0.500)  0.01

6.
Computed, not measured: LiGd2P after structural relaxation at the PBE level of DFT.

Output
The density is 4.7 g/cm³. The symmetry is R-3m. The calculation puts the electronic total energy at -9.420 eV per atom. The size of the total moment comes out at 14.95 μB/f.u. Its formation energy is -549 meV per atom. Its excess energy over the best structure of this formula in the dataset is 44 meV per atom.

Cell: 3.794 3.794 10.244 Å, 79.33 79.33 60.00°
Site moments in Bohr magnetons follow the coordinates.
Element x y z (fractional)
P (0.500, 0.500, 0.500)  -0.06
Gd (0.113, 0.113, 0.662)  7.14
Gd (0.887, 0.887, 0.338)  7.14
Li (0.000, 0.000, 0.000)  0.01

7.
Computed, not measured: LiGdPaPt after structural relaxation at the PBE level of DFT.

Output
The density is 11.1 g/cm³. The symmetry is F-43m. The calculation puts the electronic total energy at -8.157 eV per atom. The size of the total moment comes out at 8.28 μB/f.u. Its formation energy is -274 meV per atom.

Cell: 4.998 4.998 4.998 Å, 60.00 60.00 60.00°
Site moments in Bohr magnetons follow the coordinates.
Element x y z (fractional)
Gd (0.000, 0.000, 0.000)  7.14
Pa (0.500, 0.500, 0.500)  0.80
Pt (0.750, 0.750, 0.750)  -0.01
Li (0.250, 0.250, 0.250)  0.02

8.
Computed, not measured: LiGdPaRe after structural relaxation at the PBE level of DFT.

Output
The density is 11.4 g/cm³. The symmetry is F-43m. The calculation puts the electronic total energy at -9.343 eV per atom. The size of the total moment comes out at 6.60 μB/f.u. Its formation energy is 142 meV per atom.

Cell: 4.929 4.929 4.929 Å, 60.00 60.00 60.00°
Site moments in Bohr magnetons follow the coordinates.
Element x y z (fractional)
Gd (0.000, 0.000, 0.000)  7.01
Re (0.250, 0.250, 0.250)  -0.14
Pa (0.500, 0.500, 0.500)  -0.25
Li (0.750, 0.750, 0.750)  -0.01

9.
Computed, not measured: LiGdPaRh after structural relaxation at the PBE level of DFT.

Output
The density is 9.7 g/cm³. The symmetry is F-43m. The calculation puts the electronic total energy at -8.344 eV per atom. The size of the total moment comes out at 7.69 μB/f.u. Its formation energy is -134 meV per atom.

Cell: 4.938 4.938 4.938 Å, 60.00 60.00 60.00°
Site moments in Bohr magnetons follow the coordinates.
Element x y z (fractional)
Gd (0.250, 0.250, 0.250)  7.08
Pa (0.750, 0.750, 0.750)  0.44
Rh (0.500, 0.500, 0.500)  -0.06
Li (0.000, 0.000, 0.000)  0.01

10.
Computed, not measured: LiGdPaRu after structural relaxation at the PBE level of DFT.

Output
The density is 9.8 g/cm³. The symmetry is F-43m. The calculation puts the electronic total energy at -8.730 eV per atom. The size of the total moment comes out at 6.98 μB/f.u. Its formation energy is -38 meV per atom.

Cell: 4.910 4.910 4.910 Å, 60.00 60.00 60.00°
Site moments in Bohr magnetons follow the coordinates.
Element x y z (fractional)
Gd (0.000, 0.000, 0.000)  7.03
Ru (0.250, 0.250, 0.250)  -0.08
Pa (0.500, 0.500, 0.500)  -0.06
Li (0.750, 0.750, 0.750)  -0.01

11.
Computed, not measured: LiGdPaTc after structural relaxation at the PBE level of DFT.

Output
The density is 9.7 g/cm³. The symmetry is F-43m. The calculation puts the electronic total energy at -8.874 eV per atom. The size of the total moment comes out at 6.66 μB/f.u. Its formation energy is 90 meV per atom.

Cell: 4.922 4.922 4.922 Å, 60.00 60.00 60.00°
Site moments in Bohr magnetons follow the coordinates.
Element x y z (fractional)
Gd (0.000, 0.000, 0.000)  7.02
Pa (0.500, 0.500, 0.500)  -0.21
Tc (0.750, 0.750, 0.750)  -0.14
Li (0.250, 0.250, 0.250)  -0.01

12.
Computed, not measured: LiGdPb2 after structural relaxation at the PBE level of DFT.

Output
The density is 9.2 g/cm³. The symmetry is P4/mmm. The calculation puts the electronic total energy at -6.277 eV per atom. The size of the total moment comes out at 6.97 μB/f.u. Its formation energy is -424 meV per atom. Its excess energy over the best structure of this formula in the dataset is 0 meV per atom.

Cell: 4.482 4.824 4.824 Å, 90.00 90.00 90.00°
Site moments in Bohr magnetons follow the coordinates.
Element x y z (fractional)
Pb (0.000, 0.000, 0.500)  -0.03
Pb (0.000, 0.500, 0.000)  -0.03
Gd (0.500, 0.000, 0.000)  6.97
Li (0.500, 0.500, 0.500)  0.01